GdCl | PBE | optimized geometry

Calculated values
Total energy, Ha/atom: -0.168

Lattice parameters (Å, degrees): 3.5007 3.5007 4.3441 90.00 90.00 120.00
Fractional coordinates of all 2 atoms:
Gd 0.0000 0.0000 0.0000
Cl 0.3333 0.6667 0.5000